Record 1
# Nd6P5Br, relaxed, DFT PBE-GGA
# * M_tot: 0.0 μB/cell
# * formation energy (no corrections): -1.57 eV/atom
data_Nd6P5Br
_chemical_formula_sum 'Nd12 P10 Br2'
_symmetry_space_group_name_H-M 'C 1 2/m 1'
_symmetry_Int_Tables_number 12
_symmetry_space_group_name_Hall '-C 2y'
_cell_length_a 7.270
_cell_length_b 12.566
_cell_length_c 7.238
_cell_angle_alpha 90.00
_cell_angle_beta 109.56
_cell_angle_gamma 90.00
loop_
_atom_site_label
_atom_site_type_symbol
_atom_site_fract_x
_atom_site_fract_y
_atom_site_fract_z
Nd1 Nd 0.235 0.000 0.261
Nd2 Nd 0.237 0.176 0.741
P1 P 0.000 0.000 0.500
P2 P 0.000 0.167 0.000
P3 P 0.000 0.338 0.500
Br1 Br 0.000 0.500 0.000

---

Record 2
# Nd6P2PdBr3, relaxed, DFT PBE-GGA
# * M_tot: 0.0 μB/cell
# * formation energy (no corrections): -1.30 eV/atom
data_Nd6P2PdBr3
_chemical_formula_sum 'Nd12 P4 Pd2 Br6'
_symmetry_space_group_name_H-M 'C 1 2/m 1'
_symmetry_Int_Tables_number 12
_symmetry_space_group_name_Hall '-C 2y'
_cell_length_a 19.096
_cell_length_b 4.101
_cell_length_c 8.943
_cell_angle_alpha 90.00
_cell_angle_beta 106.03
_cell_angle_gamma 90.00
loop_
_atom_site_label
_atom_site_type_symbol
_atom_site_fract_x
_atom_site_fract_y
_atom_site_fract_z
Nd1 Nd 0.011 0.000 0.224
Nd2 Nd 0.163 0.500 0.114
Nd3 Nd 0.177 0.500 0.556
P1 P 0.168 0.000 0.334
Pd1 Pd 0.000 0.500 0.000
Br1 Br 0.000 0.500 0.500
Br2 Br 0.166 0.000 0.827

---

Record 3
# PrNdPBr, relaxed, DFT PBE-GGA
# * M_tot: 0.0 μB/cell
# * formation energy (no corrections): -1.50 eV/atom
data_PrNdPBr
_chemical_formula_sum 'Pr3 Nd3 P3 Br3'
_symmetry_space_group_name_H-M 'R 3 m'
_symmetry_Int_Tables_number 160
_symmetry_space_group_name_Hall 'R 3 -2"'
_cell_length_a 4.1211
_cell_length_b 4.1211
_cell_length_c 22.6267
_cell_angle_alpha 90.00
_cell_angle_beta 90.00
_cell_angle_gamma 120.00
loop_
_atom_site_label
_atom_site_type_symbol
_atom_site_fract_x
_atom_site_fract_y
_atom_site_fract_z
Pr1 Pr 0.0000 0.0000 0.0000
Nd1 Nd 0.0000 0.0000 0.8025
P1 P 0.0000 0.0000 0.4033
Br1 Br 0.0000 0.0000 0.2328

---

Record 4
# Nd8PPt3Br4, relaxed, DFT PBE-GGA
# * M_tot: 0.0 μB/cell
# * formation energy (no corrections): -1.26 eV/atom
data_Nd8PPt3Br4
_chemical_formula_sum 'Nd24 P3 Pt9 Br12'
_symmetry_space_group_name_H-M 'R -3 m'
_symmetry_Int_Tables_number 166
_symmetry_space_group_name_Hall '-R 3 2"'
_cell_length_a 8.4807
_cell_length_b 8.4807
_cell_length_c 22.6527
_cell_angle_alpha 90.00
_cell_angle_beta 90.00
_cell_angle_gamma 120.00
loop_
_atom_site_label
_atom_site_type_symbol
_atom_site_fract_x
_atom_site_fract_y
_atom_site_fract_z
Nd1 Nd 0.0000 0.0000 0.2323
Nd2 Nd 0.0022 0.5011 0.7654
P1 P 0.0000 0.0000 0.5000
Pt1 Pt 0.0000 0.5000 0.5000
Br1 Br 0.0000 0.0000 0.0000
Br2 Br 0.0000 0.5000 0.0000

---

Which of these has the lowest formation energy (no corrections)? Nd6P5Br

---

Which formula does entry 3 have? PrNdPBr

---

Repeat the third record exactly.
# PrNdPBr, relaxed, DFT PBE-GGA
# * M_tot: 0.0 μB/cell
# * formation energy (no corrections): -1.50 eV/atom
data_PrNdPBr
_chemical_formula_sum 'Pr3 Nd3 P3 Br3'
_symmetry_space_group_name_H-M 'R 3 m'
_symmetry_Int_Tables_number 160
_symmetry_space_group_name_Hall 'R 3 -2"'
_cell_length_a 4.1211
_cell_length_b 4.1211
_cell_length_c 22.6267
_cell_angle_alpha 90.00
_cell_angle_beta 90.00
_cell_angle_gamma 120.00
loop_
_atom_site_label
_atom_site_type_symbol
_atom_site_fract_x
_atom_site_fract_y
_atom_site_fract_z
Pr1 Pr 0.0000 0.0000 0.0000
Nd1 Nd 0.0000 0.0000 0.8025
P1 P 0.0000 0.0000 0.4033
Br1 Br 0.0000 0.0000 0.2328